Record 1
# KNa3Rh

A geometry-optimized KNa3Rh structure (PBE-GGA, the Alexandria database).

Cell and atoms, written as CIF:
```
data_KNa3Rh
_symmetry_space_group_name_H-M 'P m -3 m'
_symmetry_Int_Tables_number 221
_symmetry_space_group_name_Hall '-P 4 2 3'
_cell_length_a 5.505
_cell_length_b 5.505
_cell_length_c 5.505
_cell_angle_alpha 90.00
_cell_angle_beta 90.00
_cell_angle_gamma 90.00
loop_
_atom_site_label
_atom_site_type_symbol
_atom_site_fract_x
_atom_site_fract_y
_atom_site_fract_z
K1 K 0.000 0.000 0.000
Na1 Na 0.000 0.000 0.500
Rh1 Rh 0.500 0.500 0.500
```

## Properties
As for the energy above the most stable polymorph in this dataset: 0.785 eV per atom. As for the total energy: -1.36 eV/atom. As for the total magnetic moment: 0.60 μB per formula unit. The value obtained for the density of states at the Fermi level is 5.42 states/eV/cell.

***

Record 2
# KNa2Rh

A geometry-optimized KNa2Rh structure (PBE-GGA, the Alexandria database).

Cell and atoms, written as CIF:
```
data_KNa2Rh
_symmetry_space_group_name_H-M 'I -4 2 d'
_symmetry_Int_Tables_number 122
_symmetry_space_group_name_Hall 'I -4 2bw'
_cell_length_a 4.734
_cell_length_b 4.734
_cell_length_c 21.143
_cell_angle_alpha 90.00
_cell_angle_beta 90.00
_cell_angle_gamma 90.00
loop_
_atom_site_label
_atom_site_type_symbol
_atom_site_fract_x
_atom_site_fract_y
_atom_site_fract_z
K1 K 0.000 0.000 0.000
Na1 Na 0.194 0.250 0.625
Rh1 Rh 0.000 0.000 0.500
```

## Properties
As for the energy above the most stable polymorph in this dataset: 0.161 eV per atom. As for the total energy: -2.17 eV/atom. As for the total magnetic moment: 0.34 μB per formula unit. The value obtained for the density of states at the Fermi level is 13.40 states/eV/cell.

***

Record 3
# KNa2RhS

A geometry-optimized KNa2RhS structure (PBE-GGA, the Alexandria database).

Cell and atoms, written as CIF:
```
data_KNa2RhS
_symmetry_space_group_name_H-M 'P 4/m m m'
_symmetry_Int_Tables_number 123
_symmetry_space_group_name_Hall '-P 4 2'
_cell_length_a 5.556
_cell_length_b 5.556
_cell_length_c 4.455
_cell_angle_alpha 90.00
_cell_angle_beta 90.00
_cell_angle_gamma 90.00
loop_
_atom_site_label
_atom_site_type_symbol
_atom_site_fract_x
_atom_site_fract_y
_atom_site_fract_z
K1 K 0.000 0.000 0.000
Na1 Na 0.000 0.500 0.500
Rh1 Rh 0.500 0.500 0.500
S1 S 0.500 0.500 0.000
```

## Properties
As for the total energy: -3.28 eV/atom. As for the total magnetic moment: 0.09 μB per formula unit. The value obtained for the density of states at the Fermi level is 3.02 states/eV/cell.

***

Record 4
# KNaSr2Rh

A geometry-optimized KNaSr2Rh structure (PBE-GGA, the Alexandria database).

Cell and atoms, written as CIF:
```
data_KNaSr2Rh
_symmetry_space_group_name_H-M 'P 4/m m m'
_symmetry_Int_Tables_number 123
_symmetry_space_group_name_Hall '-P 4 2'
_cell_length_a 5.816
_cell_length_b 5.816
_cell_length_c 6.424
_cell_angle_alpha 90.00
_cell_angle_beta 90.00
_cell_angle_gamma 90.00
loop_
_atom_site_label
_atom_site_type_symbol
_atom_site_fract_x
_atom_site_fract_y
_atom_site_fract_z
K1 K 0.000 0.000 0.000
Na1 Na 0.500 0.500 0.000
Sr1 Sr 0.000 0.500 0.500
Rh1 Rh 0.000 0.000 0.500
```

## Properties
As for the energy above the most stable polymorph in this dataset: 0.039 eV per atom. As for the total energy: -2.57 eV/atom. As for the total magnetic moment: 0.00 μB per formula unit. The value obtained for the density of states at the Fermi level is 3.43 states/eV/cell.

***

Record 5
# KNaSr2Rh

A geometry-optimized KNaSr2Rh structure (PBE-GGA, the Alexandria database).

Cell and atoms, written as CIF:
```
data_KNaSr2Rh
_symmetry_space_group_name_H-M 'P 4/m m m'
_symmetry_Int_Tables_number 123
_symmetry_space_group_name_Hall '-P 4 2'
_cell_length_a 5.841
_cell_length_b 5.841
_cell_length_c 6.049
_cell_angle_alpha 90.00
_cell_angle_beta 90.00
_cell_angle_gamma 90.00
loop_
_atom_site_label
_atom_site_type_symbol
_atom_site_fract_x
_atom_site_fract_y
_atom_site_fract_z
K1 K 0.000 0.000 0.000
Na1 Na 0.500 0.500 0.000
Sr1 Sr 0.000 0.500 0.500
Rh1 Rh 0.500 0.500 0.500
```

## Properties
As for the energy above the most stable polymorph in this dataset: 0.000 eV per atom. As for the total energy: -2.61 eV/atom. As for the total magnetic moment: 0.00 μB per formula unit. The value obtained for the density of states at the Fermi level is 2.67 states/eV/cell.

***

Record 6
# K2NaTl6Rh

A geometry-optimized K2NaTl6Rh structure (PBE-GGA, the Alexandria database).

Cell and atoms, written as CIF:
```
data_K2NaTl6Rh
_symmetry_space_group_name_H-M 'P -3 m 1'
_symmetry_Int_Tables_number 164
_symmetry_space_group_name_Hall '-P 3 2"'
_cell_length_a 7.5852
_cell_length_b 7.5852
_cell_length_c 6.5077
_cell_angle_alpha 90.00
_cell_angle_beta 90.00
_cell_angle_gamma 120.00
loop_
_atom_site_label
_atom_site_type_symbol
_atom_site_fract_x
_atom_site_fract_y
_atom_site_fract_z
K1 K 0.3333 0.6667 0.3308
Na1 Na 0.0000 0.0000 0.5000
Tl1 Tl 0.1914 0.3827 0.8183
Rh1 Rh 0.0000 0.0000 0.0000
```

## Properties
As for the total energy: -2.53 eV/atom. As for the total magnetic moment: 0.00 μB per formula unit. The value obtained for the density of states at the Fermi level is 7.16 states/eV/cell.

***

total magnetic moment of number 5 (KNaSr2Rh)?
0.00 μB per formula unit